[1]
A plane-wave DFT calculation with PBE-GGA was carried out for a relaxed HoCdTe3Pb crystal.

Values from the calculation:
Final energy: -3.761 eV per atom
SG: No. 63
Theoretical density: 7.8 g/cm³

```
HoCdTe3Pb
1.0
-6.578 -3.084 -2.743
5.724 -0.458 5.229
-5.943 6.391 7.066
Te Cd Ho Pb
6 2 2 2
direct
0.599 0.401 0.250
0.144 0.856 0.543
0.856 0.144 0.043
0.144 0.856 0.957
0.401 0.599 0.750
0.856 0.144 0.457
0.027 0.973 0.750
0.973 0.027 0.250
0.500 0.500 0.500
0.500 0.500 0.000
0.713 0.287 0.750
0.287 0.713 0.250
```

[2]
A plane-wave DFT calculation with PBE-GGA was carried out for a relaxed HoCdPd crystal.

Values from the calculation:
Formation energy from the elements: -0.577 eV/atom
SG: No. 216
Theoretical density: 8.8 g/cm³

```
HoCdPd
1.0
0.145 -4.656 -0.511
1.837 -2.672 3.383
-2.782 -2.730 2.600
Ho Cd Pd
1 1 1
direct
0.000 0.000 0.000
0.500 0.500 0.500
0.250 0.250 0.250
```

[3]
A plane-wave DFT calculation with PBE-GGA was carried out for a relaxed Ho2CdPd2 crystal.

Values from the calculation:
Formation energy from the elements: -0.822 eV/atom
SG: No. 127
Theoretical density: 9.9 g/cm³

```
Ho2CdPd2
1.0
7.718 0.000 0.000
0.000 7.718 0.000
0.000 0.000 3.679
Cd Ho Pd
2 4 4
direct
0.500 0.500 0.000
0.000 0.000 0.000
0.330 0.170 0.500
0.830 0.330 0.500
0.170 0.670 0.500
0.670 0.830 0.500
0.630 0.130 0.000
0.370 0.870 0.000
0.130 0.370 0.000
0.870 0.630 0.000
```

[4]
A plane-wave DFT calculation with PBE-GGA was carried out for a relaxed HoCdPd crystal.

Values from the calculation:
Formation energy from the elements: -0.105 eV/atom
SG: No. 216
Theoretical density: 8.3 g/cm³

```
HoCdPd
1.0
0.000 3.374 3.374
3.374 0.000 3.374
3.374 3.374 0.000
Ho Pd Cd
1 1 1
direct
0.000 0.000 0.000
0.750 0.750 0.750
0.250 0.250 0.250
```

[5]
A plane-wave DFT calculation with PBE-GGA was carried out for a relaxed PmHoCd crystal.

Values from the calculation:
Formation energy from the elements: 0.493 eV/atom
SG: No. 216
Theoretical density: 7.3 g/cm³

```
PmHoCd
1.0
1.725 -4.582 -1.542
-3.285 -3.501 -1.817
0.018 -1.188 -4.993
Pm Ho Cd
1 1 1
direct
0.250 0.250 0.250
0.000 0.000 0.000
0.500 0.500 0.500
```

[6]
A plane-wave DFT calculation with PBE-GGA was carried out for a relaxed PrHoCd6 crystal.

Values from the calculation:
Formation energy from the elements: -0.287 eV/atom
Relative energy among the computed polymorphs: 0.23 kcal/mol of atoms
SG: No. 38
Theoretical density: 8.6 g/cm³

```
PrHoCd6
1.0
4.857 0.000 0.000
0.000 3.599 5.408
0.000 -3.599 5.408
Cd Pr Ho
6 1 1
direct
0.500 0.620 0.189
0.000 0.804 0.382
0.000 0.382 0.804
0.500 0.677 0.677
0.500 0.189 0.620
0.000 0.331 0.331
0.500 0.135 0.135
0.000 0.863 0.863
```

[7]
A plane-wave DFT calculation with PBE-GGA was carried out for a relaxed PrHoCd4 crystal.

Values from the calculation:
Formation energy from the elements: -0.332 eV/atom
SG: No. 10
Theoretical density: 8.5 g/cm³

```
PrHoCd4
1.0
3.391 0.000 0.000
0.000 4.997 0.000
-0.003 0.000 8.681
Cd Ho Pr
4 1 1
direct
0.503 0.000 0.327
0.504 0.500 0.839
0.497 0.000 0.673
0.496 0.500 0.161
0.000 0.000 0.000
0.000 0.500 0.500
```

[8]
A plane-wave DFT calculation with PBE-GGA was carried out for a relaxed PrHoCd6 crystal.

Values from the calculation:
Formation energy from the elements: -0.297 eV/atom
Relative energy among the computed polymorphs: 0.00 kcal/mol of atoms
SG: No. 123
Theoretical density: 8.5 g/cm³

```
PrHoCd6
1.0
-0.779 4.427 2.438
-4.026 -2.035 2.409
4.360 -2.215 5.415
Pr Cd Ho
1 6 1
direct
0.500 0.500 0.000
0.500 0.000 0.742
0.000 0.500 0.258
0.000 0.500 0.742
0.500 0.500 0.500
0.000 0.000 0.000
0.500 0.000 0.258
0.000 0.000 0.500
```

Number 1: total magnetization 0.0 μB per formula unit. Number 2: total magnetization 0.0 μB per formula unit. Number 3: total magnetization 0.0 μB per formula unit. Number 4: total magnetization 0.0 μB per formula unit. Number 5: total magnetization 0.0 μB per formula unit. Number 6: total magnetization 0.0 μB per formula unit. Number 7: total magnetization 0.0 μB per formula unit. Number 8: total magnetization 0.0 μB per formula unit.